# AcMg2Pt | the Open Quantum Materials Database | PBE | relaxed
# SG ... P2_1/m
# Total DFT energy (no corrections) ... -32.10 eV per cell
# Magnetic moment ... 0.00 μB per cell
# Calculated volume ... 199.0 Å³ per cell
data_AcMg2Pt
_space_group_name_H-M_alt 'P 1'
_space_group_IT_number 1
_cell_length_a 4.342
_cell_length_b 8.387
_cell_length_c 5.878
_cell_angle_alpha 90.00
_cell_angle_beta 111.63
_cell_angle_gamma 90.00
loop_
_space_group_symop_operation_xyz
'x,y,z'
loop_
_atom_site_label
_atom_site_fract_x
_atom_site_fract_y
_atom_site_fract_z
Ac1 0.443 0.750 0.884
Mg1 0.161 0.943 0.321
Mg2 0.161 0.557 0.321
Mg3 0.839 0.443 0.679
Pt1 0.272 0.250 0.545
Ac2 0.557 0.250 0.116
Pt2 0.728 0.750 0.455
Mg4 0.839 0.057 0.679